[1]
# MoPPb4

An optimized crystal structure of MoPPb4 (GGA-PBE, Alexandria via LeMat-Bulk).

The energy relative to the elements is 1.077 eV per atom. As for the density of states at the Fermi level: 4.37 states/eV/f.u.

a = 6.2672 Å, b = 6.2672 Å, c = 6.2672 Å
α = 60.00°, β = 60.00°, γ = 60.00°
Last column: nearest neighbours and their distance in Å.
Element x y z (fractional)
Pb: 0.8746 0.3751 0.3751  6 Pb 3.13-3.14
Pb: 0.3751 0.3751 0.3751  6 Pb 3.13-3.14
Pb: 0.3751 0.3751 0.8746  6 Pb 3.13-3.14
Pb: 0.3751 0.8746 0.3751  6 Pb 3.13-3.14
Mo: 0.7500 0.7500 0.7500  12 Pb 3.67, 4 P 3.84
P: 0.0000 0.0000 0.0000  12 Pb 3.67, 4 Mo 3.84

=====

[2]
# MoPPb2

An optimized crystal structure of MoPPb2 (GGA-PBE, Alexandria via LeMat-Bulk).

The energy relative to the elements is 0.846 eV per atom. As for the density of states at the Fermi level: 2.30 states/eV/f.u.

a = 5.0223 Å, b = 5.0223 Å, c = 5.0223 Å
α = 60.00°, β = 60.00°, γ = 60.00°
Last column: nearest neighbours and their distance in Å.
Element x y z (fractional)
Pb: 0.0000 0.0000 0.0000  4 Pb 3.08, 4 P 3.08
Pb: 0.7500 0.7500 0.7500  4 Mo 3.08, 4 Pb 3.08
Mo: 0.5000 0.5000 0.5000  4 Pb 3.08, 4 P 3.08
P: 0.2500 0.2500 0.2500  4 Pb 3.08, 4 Mo 3.08

=====

[3]
# MoPPb2

An optimized crystal structure of MoPPb2 (GGA-PBE, Alexandria via LeMat-Bulk).

The energy relative to the elements is 0.019 eV per atom. As for the density of states at the Fermi level: 3.29 states/eV/f.u.

a = 3.2632 Å, b = 3.2632 Å, c = 8.4741 Å
α = 90.00°, β = 90.00°, γ = 90.00°
Last column: nearest neighbours and their distance in Å.
Element x y z (fractional)
Pb: 0.0000 0.0000 0.9416  1 Mo 3.14, 4 P 3.21, 4 Pb 3.26
Pb: 0.5000 0.5000 0.3092  1 P 3.13, 4 Mo 3.20, 4 Pb 3.26
P: 0.5000 0.5000 0.6784  4 Mo 2.48
Mo: 0.0000 0.0000 0.5707  4 P 2.48

=====

[4]
# Mo2PPb

An optimized crystal structure of Mo2PPb (GGA-PBE, Alexandria via LeMat-Bulk).

The energy relative to the elements is 0.090 eV per atom. The energy above the most stable polymorph in this dataset comes out at 32.0 meV/atom. As for the density of states at the Fermi level: 3.54 states/eV/f.u.

a = 7.4368 Å, b = 7.4368 Å, c = 7.4368 Å
α = 156.03°, β = 153.79°, γ = 35.81°
Last column: nearest neighbours and their distance in Å.
Element x y z (fractional)
P: 0.5457 0.5457 0.0000  6 Mo 2.37-2.44
Mo: 0.9855 0.9855 0.0000  4 P 2.44
Mo: 0.1639 0.6639 0.5000  2 P 2.37
Pb: 0.8048 0.3048 0.5000  6 Mo 2.99-3.03, 2 Pb 3.09

=====

[5]
# Mo2PPb

An optimized crystal structure of Mo2PPb (GGA-PBE, Alexandria via LeMat-Bulk).

The energy relative to the elements is 0.593 eV per atom. The energy above the most stable polymorph in this dataset comes out at 535.3 meV/atom. As for the density of states at the Fermi level: 4.61 states/eV/f.u.

a = 4.2379 Å, b = 4.2379 Å, c = 9.4509 Å
α = 77.04°, β = 77.04°, γ = 90.00°
Last column: nearest neighbours and their distance in Å.
Element x y z (fractional)
P: 0.2500 0.7500 0.5000  4 Mo 2.57
P: 0.5000 0.5000 0.0000  4 Mo 2.57
Mo: 0.5314 0.1250 0.2500  2 Mo 2.50, 2 P 2.57
Mo: 0.2186 0.6250 0.2500  2 Mo 2.50, 2 P 2.57
Mo: 0.8750 0.7814 0.7500  2 Mo 2.50, 2 P 2.57
Mo: 0.3750 0.4686 0.7500  2 Mo 2.50, 2 P 2.57
Pb: 0.7500 0.2500 0.5000  4 Mo 2.87, 4 P 3.00
Pb: 0.0000 0.0000 0.0000  4 Mo 2.87, 4 P 3.00

=====

[6]
# Mo2PPb

An optimized crystal structure of Mo2PPb (GGA-PBE, Alexandria via LeMat-Bulk).

The energy relative to the elements is 0.649 eV per atom. The energy above the most stable polymorph in this dataset comes out at 591.2 meV/atom. As for the density of states at the Fermi level: 2.10 states/eV/f.u.

a = 4.6303 Å, b = 4.6303 Å, c = 4.6303 Å
α = 60.00°, β = 60.00°, γ = 60.00°
Last column: nearest neighbours and their distance in Å.
Element x y z (fractional)
Pb: 0.7500 0.7500 0.7500  4 P 2.84, 4 Mo 2.84
Mo: 0.0000 0.0000 0.0000  4 Pb 2.84, 4 Mo 2.84
Mo: 0.2500 0.2500 0.2500  4 P 2.84, 4 Mo 2.84
P: 0.5000 0.5000 0.5000  4 Pb 2.84, 4 Mo 2.84

=====

[7]
# MoPPb2

An optimized crystal structure of MoPPb2 (GGA-PBE, Alexandria via LeMat-Bulk).

The energy relative to the elements is 0.175 eV per atom. As for the density of states at the Fermi level: 3.75 states/eV/f.u.

a = 8.6193 Å, b = 8.6071 Å, c = 8.6071 Å
α = 157.09°, β = 157.12°, γ = 32.59°
Last column: nearest neighbours and their distance in Å.
Element x y z (fractional)
Pb: 0.8401 0.8393 0.0008  2 P 3.15-3.16, 2 Mo 3.16, 4 Pb 3.42
Pb: 0.1599 0.1607 0.9992  2 P 3.15-3.16, 2 Mo 3.16, 4 Pb 3.42
Mo: 0.0000 0.5000 0.5000  4 P 2.42
P: 0.5000 0.0000 0.5000  4 Mo 2.42

=====

[8]
# Mo2PPb

An optimized crystal structure of Mo2PPb (GGA-PBE, Alexandria via LeMat-Bulk).

The energy relative to the elements is 0.096 eV per atom. The energy above the most stable polymorph in this dataset comes out at 38.3 meV/atom. As for the density of states at the Fermi level: 3.70 states/eV/f.u.

a = 7.3760 Å, b = 7.3760 Å, c = 7.3760 Å
α = 27.45°, β = 27.45°, γ = 27.45°
Last column: nearest neighbours and their distance in Å.
Element x y z (fractional)
Mo: 0.7777 0.7777 0.7777  3 P 2.34
Mo: 0.2223 0.2223 0.2223  3 P 2.34
P: 0.5000 0.5000 0.5000  6 Mo 2.34
Pb: 0.0000 0.0000 0.0000  6 Mo 3.11

=====

[9]
# Mo2PPb

An optimized crystal structure of Mo2PPb (GGA-PBE, Alexandria via LeMat-Bulk).

The energy relative to the elements is 0.276 eV per atom. The energy above the most stable polymorph in this dataset comes out at 217.5 meV/atom. As for the density of states at the Fermi level: 3.58 states/eV/f.u.

a = 4.5484 Å, b = 3.1418 Å, c = 5.4256 Å
α = 73.22°, β = 90.00°, γ = 90.00°
Last column: nearest neighbours and their distance in Å.
Element x y z (fractional)
P: 0.0000 0.3526 0.4189  4 Mo 2.40-2.41
Mo: 0.0000 0.0282 0.0676  2 P 2.41
Mo: 0.5000 0.4274 0.2702  2 P 2.40
Pb: 0.5000 0.6918 0.7432  3 Mo 2.74-2.92

=====

[10]
# MoPPb2

An optimized crystal structure of MoPPb2 (GGA-PBE, Alexandria via LeMat-Bulk).

The energy relative to the elements is 0.254 eV per atom. As for the density of states at the Fermi level: 2.04 states/eV/f.u.

a = 5.5079 Å, b = 5.5079 Å, c = 4.0168 Å
α = 90.00°, β = 90.00°, γ = 132.65°
Last column: nearest neighbours and their distance in Å.
Element x y z (fractional)
Mo: 0.8100 0.1900 0.0000  2 P 2.37
P: 0.6847 0.3153 0.5000  2 Mo 2.37
Pb: 0.1056 0.8944 0.0000  3 Mo 2.98-3.02, 4 P 3.09
Pb: 0.4027 0.5973 0.5000  3 P 2.84-3.12, 4 Mo 3.13

=====

[11]
# MoPPb3

An optimized crystal structure of MoPPb3 (GGA-PBE, Alexandria via LeMat-Bulk).

The energy relative to the elements is 1.158 eV per atom. The energy above the most stable polymorph in this dataset comes out at 305.9 meV/atom. As for the density of states at the Fermi level: 3.38 states/eV/f.u.

a = 5.3983 Å, b = 5.3983 Å, c = 5.3983 Å
α = 90.00°, β = 90.00°, γ = 90.00°
Last column: nearest neighbours and their distance in Å.
Element x y z (fractional)
Pb: 0.0000 0.0000 0.5000  2 P 2.70
Pb: 0.0000 0.5000 0.0000  2 P 2.70
Pb: 0.5000 0.0000 0.0000  2 P 2.70
Mo: 0.5000 0.5000 0.5000  12 Pb 3.82
P: 0.0000 0.0000 0.0000  6 Pb 2.70

=====

[12]
# Mo3PPb

An optimized crystal structure of Mo3PPb (GGA-PBE, Alexandria via LeMat-Bulk).

The energy relative to the elements is 0.532 eV per atom. The energy above the most stable polymorph in this dataset comes out at 0.0 meV/atom. As for the density of states at the Fermi level: 4.76 states/eV/f.u.

a = 4.5228 Å, b = 4.5228 Å, c = 4.5228 Å
α = 90.00°, β = 90.00°, γ = 90.00°
Last column: nearest neighbours and their distance in Å.
Element x y z (fractional)
P: 0.0000 0.0000 0.0000  6 Mo 2.26
Pb: 0.5000 0.5000 0.5000  12 Mo 3.20
Mo: 0.0000 0.0000 0.5000  2 P 2.26
Mo: 0.0000 0.5000 0.0000  2 P 2.26
Mo: 0.5000 0.0000 0.0000  2 P 2.26

=====

| no. | E_tot (eV/cell) |
| --- | --- |
| 1 | -24.61 |
| 2 | -20.27 |
| 3 | -23.58 |
| 4 | -30.42 |
| 5 | -56.81 |
| 6 | -28.18 |
| 7 | -22.96 |
| 8 | -30.40 |
| 9 | -29.68 |
| 10 | -22.64 |
| 11 | -21.58 |
| 12 | -38.95 |